Arrangement P

Entry from the Alexandria database: crystalline CuAgSb2 at its relaxed geometry (PBE).

Crystal system: trigonal
N(E_F) in states/eV/atom: 0.443
Space group: No. 160

Cell lengths 6.2782, 6.2782, 6.2782 Å; angles 39.56, 39.56, 39.56 degrees
Sites, in units of the cell vectors:
Cu (0.0000, 0.0000, 0.0000)
Ag (0.8391, 0.8391, 0.8391)
Sb (0.4085, 0.4085, 0.4085)
Sb (0.5968, 0.5968, 0.5968)

Arrangement Q

Entry from the Alexandria database: crystalline CuAgSb2 at its relaxed geometry (PBE).

Crystal system: orthorhombic
N(E_F) in states/eV/atom: 0.546
Space group: No. 71

Cell lengths 5.2602, 5.2602, 5.2602 Å; angles 133.71, 122.41, 76.88 degrees
Sites, in units of the cell vectors:
Cu (0.0000, 0.0000, 0.0000)
Ag (0.5000, 0.5000, 0.0000)
Sb (0.2177, 0.7177, 0.5000)
Sb (0.7823, 0.2823, 0.5000)

Arrangement R

Entry from the Alexandria database: crystalline CuAgSb2 at its relaxed geometry (PBE).

Crystal system: orthorhombic
N(E_F) in states/eV/atom: 0.410
Space group: No. 65

Cell lengths 5.2013, 5.2013, 3.2229 Å; angles 90.00, 90.00, 101.83 degrees
Sites, in units of the cell vectors:
Cu (0.0000, 0.0000, 0.0000)
Ag (0.5000, 0.5000, 0.0000)
Sb (0.0000, 0.5000, 0.5000)
Sb (0.5000, 0.0000, 0.5000)

Arrangement S

Entry from the Alexandria database: crystalline CuAgSb2 at its relaxed geometry (PBE).

Crystal system: tetragonal
N(E_F) in states/eV/atom: 0.370
Space group: No. 123

Cell lengths 3.2357, 3.2357, 8.1401 Å; angles 90.00, 90.00, 90.00 degrees
Sites, in units of the cell vectors:
Cu (0.0000, 0.0000, 0.0000)
Ag (0.0000, 0.0000, 0.5000)
Sb (0.5000, 0.5000, 0.2282)
Sb (0.5000, 0.5000, 0.7718)

Quick look at relative energies in eV/atom: arrangement P 0.000; arrangement Q 0.113; arrangement R 0.130; arrangement S 0.098.

Arrangement P

Entry from the Alexandria database: crystalline CuAgSb2 at its relaxed geometry (PBE).

Crystal system: tetragonal
N(E_F) in states/eV/atom: 0.275
Space group: No. 99

Cell lengths 3.2558, 3.2558, 8.3189 Å; angles 90.00, 90.00, 90.00 degrees
Sites, in units of the cell vectors:
Cu (0.0000, 0.0000, 0.0000)
Ag (0.5000, 0.5000, 0.8161)
Sb (0.0000, 0.0000, 0.5795)
Sb (0.5000, 0.5000, 0.1885)

Arrangement Q

Entry from the Alexandria database: crystalline CuAgSb2 at its relaxed geometry (PBE).

Crystal system: monoclinic
N(E_F) in states/eV/atom: 0.447
Space group: No. 12

Cell lengths 4.0216, 4.0216, 6.7858 Å; angles 107.55, 107.55, 59.88 degrees
Sites, in units of the cell vectors:
Cu (0.0000, 0.0000, 0.0000)
Ag (0.5000, 0.5000, 0.5000)
Sb (0.2603, 0.2603, 0.7892)
Sb (0.7397, 0.7397, 0.2108)

Quick look at relative energies in eV/atom: arrangement P 0.000; arrangement Q 0.013.

Arrangement P

Entry from the Alexandria database: crystalline CuAgSb2 at its relaxed geometry (PBE).

Crystal system: trigonal
N(E_F) in states/eV/atom: 0.365
Space group: No. 166

Cell lengths 8.3487, 8.3487, 8.3487 Å; angles 24.17, 24.17, 24.17 degrees
Sites, in units of the cell vectors:
Cu (0.0000, 0.0000, 0.0000)
Ag (0.5000, 0.5000, 0.5000)
Sb (0.2574, 0.2574, 0.2574)
Sb (0.7426, 0.7426, 0.7426)

Arrangement Q

Entry from the Alexandria database: crystalline CuAgSb2 at its relaxed geometry (PBE).

Crystal system: tetragonal
N(E_F) in states/eV/atom: 0.329
Space group: No. 123

Cell lengths 4.6130, 4.6130, 4.0037 Å; angles 90.00, 90.00, 90.00 degrees
Sites, in units of the cell vectors:
Cu (0.0000, 0.0000, 0.0000)
Ag (0.5000, 0.5000, 0.0000)
Sb (0.0000, 0.5000, 0.5000)
Sb (0.5000, 0.0000, 0.5000)

Arrangement R

Entry from the Alexandria database: crystalline CuAgSb2 at its relaxed geometry (PBE).

Crystal system: tetragonal
N(E_F) in states/eV/atom: 0.624
Space group: No. 119

Cell lengths 5.7588, 5.7588, 5.7588 Å; angles 137.63, 137.63, 61.46 degrees
Sites, in units of the cell vectors:
Cu (0.0000, 0.0000, 0.0000)
Ag (0.7500, 0.2500, 0.5000)
Sb (0.2500, 0.7500, 0.5000)
Sb (0.5000, 0.5000, 0.0000)

Quick look at relative energies in eV/atom: arrangement P 0.000; arrangement Q 0.122; arrangement R 0.141.